No. 1
{"formula": "LuSn2", "functional": "PBE", "state": "optimized geometry", "dos_ef_per_ev_cell": 3.05, "space_group": "P2_1/m", "formation_energy_kj_per_mol_fu": -145, "cell": [[-4.188, -0.076, 1.053], [1.056, -1.024, 4.127], [-0.199, 8.340, -0.189]], "species": ["Sn", "Sn", "Sn", "Lu", "Sn", "Lu"], "fractional_positions": [[0.750, 0.434, 0.870], [0.750, 0.748, 0.497], [0.250, 0.566, 0.130], [0.750, 0.099, 0.196], [0.250, 0.252, 0.503], [0.250, 0.901, 0.804]]}


No. 2
{"formula": "LuSn2", "functional": "PBE", "state": "optimized geometry", "dos_ef_per_ev_cell": 2.53, "space_group": "Fmmm", "formation_energy_kj_per_mol_fu": -93, "cell": [[-1.019, -0.440, 3.643], [-2.544, -2.662, -0.972], [5.504, -2.231, -0.745]], "species": ["Sn", "Sn", "Lu"], "fractional_positions": [[0.830, 0.830, 0.662], [0.170, 0.170, 0.338], [0.500, 0.500, 0.000]]}


No. 3
{"formula": "LuSn6", "functional": "PBE", "state": "optimized geometry", "dos_ef_per_ev_cell": 5.76, "space_group": "Im-3m", "formation_energy_kj_per_mol_fu": 270, "cell": [[-6.037, -3.134, -1.706], [0.562, 0.347, 6.981], [0.109, 6.480, -2.679]], "species": ["Sn", "Sn", "Lu", "Sn", "Sn", "Sn", "Sn"], "fractional_positions": [[0.500, 0.250, 0.750], [0.250, 0.750, 0.500], [0.000, 0.000, 0.000], [0.750, 0.250, 0.500], [0.750, 0.500, 0.250], [0.500, 0.750, 0.250], [0.250, 0.500, 0.750]]}


no.,calculated density (g/cm³)
1,8.985
2,8.845
3,5.550